No. 1
# Pm2Dy3Sn4 GGA-PBE relaxed
# final energy: -4.9785 eV per atom
# energy of formation from the pure elements: -5.49 eV/f.u.
# Fermi-level density of states: 9.672 states/eV per cell
data_Pm2Dy3Sn4
_chemical_formula_sum 'Pm4 Dy6 Sn8'
_space_group_name_H-M_alt 'P 1'
_space_group_IT_number 1
_space_group_name_Hall 'P 1'
_cell_length_a 7.019
_cell_length_b 8.956
_cell_length_c 9.241
_cell_angle_alpha 90.00
_cell_angle_beta 112.32
_cell_angle_gamma 90.00
loop_
_atom_site_label
_atom_site_type_symbol
_atom_site_fract_x
_atom_site_fract_y
_atom_site_fract_z
_atom_site_occupancy
Dy1 Dy 0.544 0.750 0.588 1
Dy2 Dy 0.000 0.000 0.000 1
Dy3 Dy 0.456 0.250 0.412 1
Dy4 Dy 0.500 0.500 0.000 1
Dy5 Dy 0.044 0.750 0.588 1
Dy6 Dy 0.956 0.250 0.412 1
Sn1 Sn 0.314 0.444 0.627 1
Sn2 Sn 0.720 0.750 0.941 1
Sn3 Sn 0.186 0.944 0.373 1
Sn4 Sn 0.814 0.056 0.627 1
Sn5 Sn 0.686 0.556 0.373 1
Sn6 Sn 0.220 0.750 0.941 1
Sn7 Sn 0.280 0.250 0.059 1
Sn8 Sn 0.780 0.250 0.059 1
Pm1 Pm 0.611 0.910 0.222 1
Pm2 Pm 0.111 0.590 0.222 1
Pm3 Pm 0.889 0.410 0.778 1
Pm4 Pm 0.389 0.090 0.778 1

No. 2
# Cd3Hg6Bi GGA-PBE relaxed
# final energy: -0.8009 eV per atom
# energy of formation from the pure elements: 0.43 eV/f.u.
# Fermi-level density of states: 7.019 states/eV per cell
data_Cd3Hg6Bi
_chemical_formula_sum 'Cd6 Hg12 Bi2'
_space_group_name_H-M_alt 'P 1'
_space_group_IT_number 1
_space_group_name_Hall 'P 1'
_cell_length_a 7.320
_cell_length_b 8.704
_cell_length_c 8.704
_cell_angle_alpha 82.41
_cell_angle_beta 90.00
_cell_angle_gamma 90.00
loop_
_atom_site_label
_atom_site_type_symbol
_atom_site_fract_x
_atom_site_fract_y
_atom_site_fract_z
_atom_site_occupancy
Cd1 Cd 0.812 0.703 0.968 1
Cd2 Cd 0.334 0.516 0.484 1
Cd3 Cd 0.312 0.297 0.032 1
Cd4 Cd 0.812 0.032 0.297 1
Cd5 Cd 0.834 0.484 0.516 1
Cd6 Cd 0.312 0.968 0.703 1
Hg1 Hg 0.504 0.989 0.011 1
Hg2 Hg 0.087 0.731 0.269 1
Hg3 Hg 0.577 0.313 0.303 1
Hg4 Hg 0.077 0.687 0.697 1
Hg5 Hg 0.587 0.269 0.731 1
Hg6 Hg 0.329 0.002 0.362 1
Hg7 Hg 0.329 0.638 0.998 1
Hg8 Hg 0.004 0.011 0.989 1
Hg9 Hg 0.829 0.362 0.002 1
Hg10 Hg 0.077 0.303 0.313 1
Hg11 Hg 0.829 0.998 0.638 1
Hg12 Hg 0.577 0.697 0.687 1
Bi1 Bi 0.622 0.710 0.290 1
Bi2 Bi 0.122 0.290 0.710 1

No. 3
# YPtF3 GGA-PBE relaxed
# final energy: -5.8769 eV per atom
# Fermi-level density of states: 4.085 states/eV per cell
# formation energy (no corrections): -1087 kJ/mol of formula units
data_YPtF3
_chemical_formula_sum 'Y1 Pt1 F3'
_space_group_name_H-M_alt 'P 1'
_space_group_IT_number 1
_space_group_name_Hall 'P 1'
_cell_length_a 4.418
_cell_length_b 4.418
_cell_length_c 4.418
_cell_angle_alpha 90.00
_cell_angle_beta 90.00
_cell_angle_gamma 90.00
loop_
_atom_site_label
_atom_site_type_symbol
_atom_site_fract_x
_atom_site_fract_y
_atom_site_fract_z
_atom_site_occupancy
F1 F 0.000 0.500 0.000 1
F2 F 0.500 0.000 0.000 1
F3 F 0.000 0.000 0.500 1
Y1 Y 0.000 0.000 0.000 1
Pt1 Pt 0.500 0.500 0.500 1

No. 4
# Pa3Si3Pd GGA-PBE relaxed
# final energy: -7.6875 eV per atom
# Fermi-level density of states: 11.062 states/eV per cell
# formation energy (no corrections): -373 kJ/mol of formula units
data_Pa3Si3Pd
_chemical_formula_sum 'Pa3 Si3 Pd1'
_space_group_name_H-M_alt 'P 1'
_space_group_IT_number 1
_space_group_name_Hall 'P 1'
_cell_length_a 4.110
_cell_length_b 3.883
_cell_length_c 9.446
_cell_angle_alpha 101.86
_cell_angle_beta 102.57
_cell_angle_gamma 90.00
loop_
_atom_site_label
_atom_site_type_symbol
_atom_site_fract_x
_atom_site_fract_y
_atom_site_fract_z
_atom_site_occupancy
Pd1 Pd 0.434 0.434 0.869 1
Pa1 Pa 0.688 0.188 0.377 1
Pa2 Pa 0.306 0.806 0.613 1
Pa3 Pa 0.004 0.004 0.009 1
Si1 Si 0.142 0.642 0.284 1
Si2 Si 0.857 0.357 0.714 1
Si3 Si 0.568 0.568 0.135 1

No. 5
# Tb3NdEr4 GGA-PBE relaxed
# final energy: -4.6019 eV per atom
# energy of formation from the pure elements: 0.09 eV/f.u.
# Fermi-level density of states: 27.049 states/eV per cell
data_Tb3NdEr4
_chemical_formula_sum 'Tb6 Nd2 Er8'
_space_group_name_H-M_alt 'P 1'
_space_group_IT_number 1
_space_group_name_Hall 'P 1'
_cell_length_a 6.267
_cell_length_b 7.257
_cell_length_c 11.274
_cell_angle_alpha 90.00
_cell_angle_beta 90.00
_cell_angle_gamma 90.00
loop_
_atom_site_label
_atom_site_type_symbol
_atom_site_fract_x
_atom_site_fract_y
_atom_site_fract_z
_atom_site_occupancy
Er1 Er 0.648 0.122 0.000 1
Er2 Er 0.481 0.877 0.249 1
Er3 Er 0.148 0.878 0.500 1
Er4 Er 0.981 0.123 0.251 1
Er5 Er 0.148 0.877 0.000 1
Er6 Er 0.648 0.123 0.500 1
Er7 Er 0.481 0.877 0.751 1
Er8 Er 0.981 0.123 0.749 1
Nd1 Nd 0.147 0.374 0.000 1
Nd2 Nd 0.647 0.626 0.500 1
Tb1 Tb 0.647 0.627 0.000 1
Tb2 Tb 0.981 0.627 0.250 1
Tb3 Tb 0.147 0.373 0.500 1
Tb4 Tb 0.481 0.373 0.750 1
Tb5 Tb 0.481 0.373 0.250 1
Tb6 Tb 0.981 0.627 0.750 1

No. 6
# Y2Al2In GGA-PBE relaxed
# final energy: -4.7894 eV per atom
# energy of formation from the pure elements: -0.80 eV/f.u.
# Fermi-level density of states: 5.416 states/eV per cell
data_Y2Al2In
_chemical_formula_sum 'Y4 Al4 In2'
_space_group_name_H-M_alt 'P 1'
_space_group_IT_number 1
_space_group_name_Hall 'P 1'
_cell_length_a 8.556
_cell_length_b 8.556
_cell_length_c 3.543
_cell_angle_alpha 90.00
_cell_angle_beta 90.00
_cell_angle_gamma 90.00
loop_
_atom_site_label
_atom_site_type_symbol
_atom_site_fract_x
_atom_site_fract_y
_atom_site_fract_z
_atom_site_occupancy
Al1 Al 0.612 0.888 0.500 1
Al2 Al 0.112 0.612 0.500 1
Al3 Al 0.388 0.112 0.500 1
Al4 Al 0.888 0.388 0.500 1
Y1 Y 0.681 0.181 0.000 1
Y2 Y 0.319 0.819 0.000 1
Y3 Y 0.819 0.681 0.000 1
Y4 Y 0.181 0.319 0.000 1
In1 In 0.500 0.500 0.000 1
In2 In 0.000 0.000 0.000 1

No. 7
# Rb2CdSbBr6 GGA-PBE relaxed
# final energy: -2.7513 eV per atom
# Fermi-level density of states: 2.518 states/eV per cell
# formation energy (no corrections): -1013 kJ/mol of formula units
data_Rb2CdSbBr6
_chemical_formula_sum 'Rb2 Cd1 Sb1 Br6'
_space_group_name_H-M_alt 'P 1'
_space_group_IT_number 1
_space_group_name_Hall 'P 1'
_cell_length_a 8.114
_cell_length_b 8.114
_cell_length_c 8.097
_cell_angle_alpha 59.93
_cell_angle_beta 59.93
_cell_angle_gamma 90.00
loop_
_atom_site_label
_atom_site_type_symbol
_atom_site_fract_x
_atom_site_fract_y
_atom_site_fract_z
_atom_site_occupancy
Rb1 Rb 0.250 0.750 0.500 1
Rb2 Rb 0.750 0.250 0.500 1
Br1 Br 0.250 0.250 0.499 1
Br2 Br 0.249 0.249 0.000 1
Br3 Br 0.751 0.751 0.000 1
Br4 Br 0.750 0.750 0.501 1
Br5 Br 0.751 0.249 0.000 1
Br6 Br 0.249 0.751 0.000 1
Sb1 Sb 0.000 0.000 0.000 1
Cd1 Cd 0.500 0.500 0.000 1

No. 8
# Pb2WSe GGA-PBE relaxed
# final energy: -5.0525 eV per atom
# Fermi-level density of states: 2.200 states/eV per cell
# formation energy (no corrections): 352 kJ/mol of formula units
data_Pb2WSe
_chemical_formula_sum 'Pb2 W1 Se1'
_space_group_name_H-M_alt 'P 1'
_space_group_IT_number 1
_space_group_name_Hall 'P 1'
_cell_length_a 5.649
_cell_length_b 5.649
_cell_length_c 5.649
_cell_angle_alpha 133.26
_cell_angle_beta 133.26
_cell_angle_gamma 68.24
loop_
_atom_site_label
_atom_site_type_symbol
_atom_site_fract_x
_atom_site_fract_y
_atom_site_fract_z
_atom_site_occupancy
W1 W 0.750 0.250 0.500 1
Pb1 Pb 0.000 0.000 0.000 1
Pb2 Pb 0.500 0.500 0.000 1
Se1 Se 0.250 0.750 0.500 1

No. 9
# MgZn3Se GGA-PBE relaxed
# final energy: -1.8332 eV per atom
# Fermi-level density of states: 1.206 states/eV per cell
# formation energy (no corrections): -26 kJ/mol of formula units
data_MgZn3Se
_chemical_formula_sum 'Mg2 Zn6 Se2'
_space_group_name_H-M_alt 'P 1'
_space_group_IT_number 1
_space_group_name_Hall 'P 1'
_cell_length_a 6.119
_cell_length_b 6.119
_cell_length_c 5.638
_cell_angle_alpha 90.00
_cell_angle_beta 90.00
_cell_angle_gamma 102.33
loop_
_atom_site_label
_atom_site_type_symbol
_atom_site_fract_x
_atom_site_fract_y
_atom_site_fract_z
_atom_site_occupancy
Mg1 Mg 0.000 0.000 0.000 1
Mg2 Mg 0.000 0.000 0.500 1
Zn1 Zn 0.280 0.347 0.250 1
Zn2 Zn 0.720 0.653 0.750 1
Zn3 Zn 0.347 0.280 0.750 1
Zn4 Zn 0.705 0.295 0.250 1
Zn5 Zn 0.295 0.705 0.750 1
Zn6 Zn 0.653 0.720 0.250 1
Se1 Se 0.752 0.248 0.750 1
Se2 Se 0.248 0.752 0.250 1

No. 10
# Ac3Pm5Pr2 GGA-PBE relaxed
# final energy: -4.4056 eV per atom
# energy of formation from the pure elements: 1.58 eV/f.u.
# Fermi-level density of states: 38.881 states/eV per cell
data_Ac3Pm5Pr2
_chemical_formula_sum 'Ac6 Pm10 Pr4'
_space_group_name_H-M_alt 'P 1'
_space_group_IT_number 1
_space_group_name_Hall 'P 1'
_cell_length_a 9.759
_cell_length_b 9.766
_cell_length_c 11.509
_cell_angle_alpha 123.13
_cell_angle_beta 123.11
_cell_angle_gamma 73.25
loop_
_atom_site_label
_atom_site_type_symbol
_atom_site_fract_x
_atom_site_fract_y
_atom_site_fract_z
_atom_site_occupancy
Pr1 Pr 0.736 0.979 0.266 1
Pr2 Pr 0.030 0.287 0.266 1
Pr3 Pr 0.970 0.713 0.734 1
Pr4 Pr 0.264 0.021 0.734 1
Pm1 Pm 0.031 0.281 0.563 1
Pm2 Pm 0.778 0.520 0.748 1
Pm3 Pm 0.224 0.474 0.949 1
Pm4 Pm 0.222 0.480 0.252 1
Pm5 Pm 0.969 0.719 0.437 1
Pm6 Pm 0.474 0.224 0.447 1
Pm7 Pm 0.776 0.526 0.051 1
Pm8 Pm 0.530 0.772 0.252 1
Pm9 Pm 0.470 0.228 0.748 1
Pm10 Pm 0.526 0.776 0.553 1
Ac1 Ac 0.370 0.616 0.732 1
Ac2 Ac 0.275 0.025 0.050 1
Ac3 Ac 0.630 0.384 0.268 1
Ac4 Ac 0.725 0.975 0.950 1
Ac5 Ac 0.138 0.884 0.268 1
Ac6 Ac 0.862 0.116 0.732 1

One value per record, in order, for total moment: 0.00; 0.00; 0.29; 0.00; 0.00; 0.00; 0.00; 1.96; 0.00; 0.00 μB/f.u..
One value per record, in order, for volume: 537.4; 549.7; 86.2; 143.9; 512.8; 259.4; 376.1; 93.9; 206.2; 769.3 Å³/cell.